No. 1
# Rb3LiAg2Br6 (PBE, optimized geometry)
# * raw formation energy: -1.140 eV/atom
data_Rb3LiAg2Br6
_cell_length_a 8.1903
_cell_length_b 8.1903
_cell_length_c 8.7864
_cell_angle_alpha 90.00
_cell_angle_beta 90.00
_cell_angle_gamma 120.00
_symmetry_space_group_name_H-M 'P -3 m 1'
_symmetry_Int_Tables_number 164
_symmetry_space_group_name_Hall '-P 3 2"'
loop_
_atom_site_label
_atom_site_type_symbol
_atom_site_fract_x
_atom_site_fract_y
_atom_site_fract_z
_atom_site_occupancy
Rb1 Rb 0.0000 0.0000 0.0000 1
Rb2 Rb 0.3333 0.6667 0.6431 1
Li1 Li 0.0000 0.0000 0.5000 1
Ag1 Ag 0.3333 0.6667 0.2499 1
Br1 Br 0.1536 0.3071 0.2999 1


No. 2
# Dy3As2Rh6 (PBE, optimized geometry)
# * energy of formation: -763 kJ/mol of formula units
data_Dy3As2Rh6
_cell_length_a 9.263
_cell_length_b 9.263
_cell_length_c 9.263
_cell_angle_alpha 90.00
_cell_angle_beta 90.00
_cell_angle_gamma 90.00
_symmetry_space_group_name_H-M 'I m -3 m'
_symmetry_Int_Tables_number 229
_symmetry_space_group_name_Hall '-I 4 2 3'
loop_
_atom_site_label
_atom_site_type_symbol
_atom_site_fract_x
_atom_site_fract_y
_atom_site_fract_z
_atom_site_occupancy
Dy1 Dy 0.000 0.000 0.282 1
As1 As 0.250 0.250 0.250 1
Rh1 Rh 0.000 0.346 0.346 1


No. 3
# MgMnS2 (PBE, optimized geometry)
# * raw formation energy: -0.969 eV/atom
data_MgMnS2
_cell_length_a 4.0132
_cell_length_b 4.0132
_cell_length_c 19.4607
_cell_angle_alpha 90.00
_cell_angle_beta 90.00
_cell_angle_gamma 120.00
_symmetry_space_group_name_H-M 'R 3 m'
_symmetry_Int_Tables_number 160
_symmetry_space_group_name_Hall 'R 3 -2"'
loop_
_atom_site_label
_atom_site_type_symbol
_atom_site_fract_x
_atom_site_fract_y
_atom_site_fract_z
_atom_site_occupancy
Mg1 Mg 0.0000 0.0000 0.0000 1
Mn1 Mn 0.0000 0.0000 0.5006 1
S1 S 0.0000 0.0000 0.1268 1
S2 S 0.0000 0.0000 0.6245 1


No. 4
# Dy8Tl3P3S (PBE, optimized geometry)
# * raw formation energy: -0.993 eV/atom
data_Dy8Tl3P3S
_cell_length_a 13.544
_cell_length_b 7.833
_cell_length_c 8.875
_cell_angle_alpha 90.00
_cell_angle_beta 120.54
_cell_angle_gamma 90.00
_symmetry_space_group_name_H-M 'C 1 2/m 1'
_symmetry_Int_Tables_number 12
loop_
_symmetry_equiv_pos_as_xyz
'x,y,z'
'-x,-y,-z'
'-x,y,-z'
'x,-y,z'
'x+1/2,y+1/2,z'
'-x+1/2,-y+1/2,-z'
'-x+1/2,y+1/2,-z'
'x+1/2,-y+1/2,z'
loop_
_atom_site_label
_atom_site_type_symbol
_atom_site_fract_x
_atom_site_fract_y
_atom_site_fract_z
_atom_site_occupancy
Dy1 Dy 0.014 0.248 0.291 1
Dy2 Dy 0.235 0.000 0.704 1
Dy3 Dy 0.237 0.500 0.708 1
Tl1 Tl 0.000 0.500 0.000 1
Tl2 Tl 0.250 0.250 0.000 1
P1 P 0.000 0.000 0.500 1
P2 P 0.250 0.250 0.500 1
S1 S 0.000 0.500 0.500 1


Energy, record by record: -2.853, -6.829, -5.724, -5.278 eV per atom